(1)
A plane-wave DFT calculation with GGA-PBE was carried out for an optimized crystal structure of YMgZn.

```
YMgZn
1.0
4.9668 0.0000 0.0000
-2.4834 4.3014 0.0000
0.0000 0.0000 9.3042
Y Zn Mg
3 3 3
Direct
0.6667 0.3333 0.2714
0.0000 0.0000 0.9183
0.3333 0.6667 0.7263
0.0000 0.0000 0.2312
0.6667 0.3333 0.9304
0.6667 0.3333 0.6155
0.0000 0.0000 0.5345
0.3333 0.6667 0.3980
0.3333 0.6667 0.0787
```

Properties
Space-group type = P3m1 (156)
Energy relative to the lowest polymorph listed for this composition = 0.070 eV per atom
Total energy = -3.311 eV/atom
Size of the total moment = 0.001 μB/atom


(2)
A plane-wave DFT calculation with GGA-PBE was carried out for an optimized crystal structure of YMgZn.

```
YMgZn
1.0
4.6017 0.0000 0.0000
-2.3008 3.9851 0.0000
0.0000 0.0000 8.3802
Mg Zn Y
2 2 2
Direct
0.3333 0.6667 0.6094
0.6667 0.3333 0.3901
0.0000 0.0000 0.5107
0.0000 0.0000 0.2237
0.0000 0.0000 0.8549
0.3333 0.6667 0.1357
```

Properties
Space-group type = P3m1 (156)
Energy relative to the lowest polymorph listed for this composition = 0.314 eV per atom
Total energy = -3.067 eV/atom
Size of the total moment = 0.004 μB/atom


(3)
A plane-wave DFT calculation with GGA-PBE was carried out for an optimized crystal structure of YMgZn.

```
YMgZn
1.0
4.6917 0.0000 0.0000
-2.3459 4.0632 0.0000
0.0000 0.0000 7.1346
Y Zn Mg
2 2 2
Direct
0.0000 0.0000 0.5000
0.0000 0.0000 0.0000
0.6667 0.3333 0.2364
0.6667 0.3333 0.7636
0.3333 0.6667 0.2491
0.3333 0.6667 0.7509
```

Properties
Space-group type = P-6m2 (187)
Energy relative to the lowest polymorph listed for this composition = 0.097 eV per atom
Total energy = -3.284 eV/atom
Size of the total moment = 0.037 μB/atom


(4)
A plane-wave DFT calculation with GGA-PBE was carried out for an optimized crystal structure of YMgZn.

```
YMgZn
1.0
6.9235 0.0000 0.0000
-3.4618 5.9960 0.0000
0.0000 0.0000 5.1428
Zn Mg Y
3 3 3
Direct
0.7828 0.7828 0.0000
0.0000 0.2172 0.0000
0.2172 0.0000 0.0000
0.0000 0.4859 0.5000
0.4859 0.0000 0.5000
0.5141 0.5141 0.5000
0.6667 0.3333 0.0000
0.0000 0.0000 0.5000
0.3333 0.6667 0.0000
```

Properties
Space-group type = P-62m (189)
Energy relative to the lowest polymorph listed for this composition = 0.145 eV per atom
Total energy = -3.236 eV/atom
Size of the total moment = 0.001 μB/atom


(5)
A plane-wave DFT calculation with GGA-PBE was carried out for an optimized crystal structure of YMgZn.

```
YMgZn
1.0
-0.7484 -3.6315 -2.6384
4.2530 1.1392 1.1501
-0.8003 -7.0821 9.9749
Zn Y Mg
3 3 3
Direct
0.6667 0.3333 0.2162
0.0000 0.0000 0.0071
0.6667 0.3333 0.5958
0.3333 0.6667 0.3772
0.0000 0.0000 0.7396
0.6667 0.3333 0.9255
0.0000 0.0000 0.2292
0.3333 0.6667 0.1001
0.0000 0.0000 0.4999
```

Properties
Space-group type = P3m1 (156)
Energy relative to the lowest polymorph listed for this composition = 0.334 eV per atom
Total energy = -3.046 eV/atom
Size of the total moment = 0.003 μB/atom


(6)
A plane-wave DFT calculation with GGA-PBE was carried out for an optimized crystal structure of YMgZn.

```
YMgZn
1.0
4.7731 0.0000 0.0000
-2.3866 4.1336 0.0000
0.0000 0.0000 6.9484
Mg Y Zn
2 2 2
Direct
0.3333 0.6667 0.7500
0.6667 0.3333 0.2500
0.0000 0.0000 0.5000
0.0000 0.0000 0.0000
0.3333 0.6667 0.2500
0.6667 0.3333 0.7500
```

Properties
Space-group type = P6_3/mmc (194)
Energy relative to the lowest polymorph listed for this composition = 0.077 eV per atom
Total energy = -3.304 eV/atom
Size of the total moment = 0.008 μB/atom


(7)
A plane-wave DFT calculation with GGA-PBE was carried out for an optimized crystal structure of YMgZn.

```
YMgZn
1.0
-3.1474 1.4728 0.7735
0.7437 -0.9548 -3.3479
-5.1844 -12.3195 2.3619
Y Mg Zn
2 2 2
Direct
0.0000 0.0000 0.8493
0.6667 0.3333 0.2365
0.3333 0.6667 0.6530
0.3333 0.6667 0.0424
0.6667 0.3333 0.5118
0.3333 0.6667 0.3978
```

Properties
Space-group type = P3m1 (156)
Energy relative to the lowest polymorph listed for this composition = 0.313 eV per atom
Total energy = -3.068 eV/atom
Size of the total moment = 0.002 μB/atom


(8)
A plane-wave DFT calculation with GGA-PBE was carried out for an optimized crystal structure of YMgZn.

```
YMgZn
1.0
4.8804 0.0000 0.0000
-2.4402 4.2265 0.0000
0.0000 0.0000 9.7753
Mg Zn Y
3 3 3
Direct
0.0000 0.0000 0.1850
0.0000 0.0000 0.4940
0.3333 0.6667 0.7673
0.3333 0.6667 0.0968
0.6667 0.3333 0.9800
0.3333 0.6667 0.4392
0.6667 0.3333 0.2908
0.0000 0.0000 0.8885
0.6667 0.3333 0.6407
```

Properties
Space-group type = P3m1 (156)
Energy relative to the lowest polymorph listed for this composition = 0.184 eV per atom
Total energy = -3.196 eV/atom
Size of the total moment = 0.001 μB/atom